i.
Density functional theory data (PBEsol) for a geometry-optimized Co2ReOs structure.

Lattice parameters (Å, degrees): 2.9554 2.9554 5.6378 90.00 90.00 90.00
Last column: nearest neighbours and their distance in Å.
Space group P4mm (No. 99)
Symmetry-distinct sites (fractional):
Co 0.0000 0.0000 0.0000 [1 per cell]  4 Co 2.32, 1 Os 2.53, 4 Re 2.57
Co 0.5000 0.5000 0.1788 [1 per cell]  4 Co 2.32, 1 Re 2.50, 4 Os 2.59
Re 0.5000 0.5000 0.7360 [1 per cell]  5 Co 2.50-2.57, 4 Os 2.64
Os 0.0000 0.0000 0.4490 [1 per cell]  5 Co 2.53-2.59, 4 Re 2.64

***

ii.
Density functional theory data (PBEsol) for a geometry-optimized Co2ReOs structure.

Lattice parameters (Å, degrees): 3.9471 2.5780 9.4596 90.00 90.00 90.00
Last column: nearest neighbours and their distance in Å.
Space group Amm2 (No. 38)
Symmetry-distinct sites (fractional):
Co 0.0000 0.0000 0.0000 [2 per cell]  4 Co 2.33-2.58, 3 Os 2.53-2.55, 4 Re 2.56
Co 0.5000 0.0000 0.1310 [2 per cell]  4 Co 2.33-2.58, 3 Re 2.50-2.58, 4 Os 2.54
Re 0.5000 0.0000 0.3952 [2 per cell]  7 Co 2.50-2.58, 2 Re 2.58
Os 0.0000 0.0000 0.7323 [2 per cell]  7 Co 2.53-2.55, 2 Os 2.58, 4 Re 2.82

***

iii.
Density functional theory data (PBEsol) for a geometry-optimized Co2ReOs structure.

Lattice parameters (Å, degrees): 3.6534 3.6534 7.2850 90.00 90.00 90.00
Last column: nearest neighbours and their distance in Å.
Space group I4/mmm (No. 139)
Symmetry-distinct sites (fractional):
Co 0.0000 0.5000 0.2500 [4 per cell]  4 Re 2.58, 4 Os 2.58, 4 Co 2.58
Re 0.0000 0.0000 0.0000 [2 per cell]  8 Co 2.58, 4 Os 2.58
Os 0.0000 0.0000 0.5000 [2 per cell]  8 Co 2.58, 4 Re 2.58

***

Energies in eV/atom, measured from the most stable structure: i 0.216; ii 0.000; iii 0.084.